Ba3CaV2O8 after structural relaxation, computed with GGA+U.

- Symmetry: P-3m1, No. 164
- Uncorrected energy: -6.949 eV/atom

Cell and atoms, written as POSCAR:
```
Ba3CaV2O8
1.0
-1.344 4.799 -3.349
1.769 -5.098 -2.632
-7.287 -2.321 -0.401
O V Ba Ca
8 2 3 1
Cartesian
-0.462 1.450 -3.119
-1.021 -4.105 -2.880
-5.194 -0.826 -1.890
-6.400 -4.070 -3.264
-1.873 -1.650 -1.613
-5.841 1.485 -3.503
-4.989 -0.970 -4.771
-1.668 -1.794 -4.493
-0.796 -2.286 -2.956
-6.065 -0.334 -3.428
-2.831 0.696 -3.249
0.000 0.000 0.000
-4.031 -3.316 -3.134
-3.643 -1.160 -0.201
```